1.
CrPbSCl2: optimized geometry, GGA-PBE.

Computed properties:
- E_tot (Ry per atom) = -0.302
- formation energy (no corrections) (eV/atom) = 0.121
- crystal system = tetragonal

```
CrPbSCl2
1.0
5.325 0.000 0.000
0.000 5.325 0.000
0.000 0.000 5.159
Cr Pb S Cl
1 1 1 2
Cartesian
0.000 0.000 0.000
2.663 2.663 2.579
2.663 2.663 0.000
0.000 2.663 2.579
2.663 0.000 2.579
```


2.
LaTlTeO4: optimized geometry, GGA-PBE.

Computed properties:
- E_tot (Ry per atom) = -0.451
- formation energy (no corrections) (eV/atom) = -1.807
- crystal system = monoclinic

```
LaTlTeO4
1.0
6.041 0.000 0.000
0.000 6.076 0.000
-2.287 0.000 7.632
La Tl Te O
2 2 2 8
Cartesian
0.128 1.519 3.528
3.626 4.557 4.104
0.031 4.557 0.929
3.722 1.519 6.703
0.571 4.557 5.849
3.183 1.519 1.783
-0.670 3.077 5.247
-0.670 6.036 5.247
1.166 1.519 1.373
1.204 4.557 4.011
2.550 1.519 3.621
2.588 4.557 6.259
4.424 0.040 2.386
4.424 2.998 2.386
```